The following is a PBE calculation of a relaxed structure of AgTe3As2, from Alexandria.

Cell: 4.154 5.941 7.309 Å, 113.98 106.51 90.00°
Atoms (fractional coordinates):
Te: 0.674 0.674 0.347
Te: 0.326 0.326 0.653
As: 0.671 0.171 0.342
As: 0.329 0.829 0.658
Ag: 0.000 0.500 0.000
Te: 0.000 0.000 0.000

Total energy   -21.5 eV/cell
SG   Immm (71)